DFT (GGA-PBE) results for a relaxed structure of PRhS2Cl.

Cell: 4.595 4.595 4.800 Å, 90.00 90.00 90.00°
Space group P4/mmm (No. 123)
Inequivalent atoms, fractional coordinates:
P (0.000, 0.000, 0.000) [1 per cell]
Rh (0.000, 0.000, 0.500) [1 per cell]
S (0.000, 0.500, 0.500) [2 per cell]
Cl (0.500, 0.500, 0.000) [1 per cell]

E_form (uncorrected)   0.622 eV/atom
VASP energy   -19.751 eV for the cell shown
Total magnetization   0.00 μB/atom